[1]
AcPm3Sm6 | PBE | optimized geometry

CIF file:
```
data_AcPm3Sm6
_space_group_name_H-M_alt 'P 1'
_space_group_IT_number 1
_cell_length_a 9.3254
_cell_length_b 8.8584
_cell_length_c 8.8584
_cell_angle_alpha 98.83
_cell_angle_beta 90.00
_cell_angle_gamma 90.00
loop_
_space_group_symop_operation_xyz
'x,y,z'
loop_
_atom_site_label
_atom_site_fract_x
_atom_site_fract_y
_atom_site_fract_z
Ac1 0.0375 0.2557 0.7443
Ac2 0.5375 0.7443 0.2557
Pm1 0.4701 0.8604 0.7058
Pm2 0.9701 0.7058 0.8604
Pm3 0.3778 0.4752 0.5248
Pm4 0.8778 0.5248 0.4752
Pm5 0.9701 0.1396 0.2942
Pm6 0.4701 0.2942 0.1396
Sm1 0.1542 0.8050 0.5771
Sm2 0.6542 0.5771 0.8050
Sm3 0.3037 0.5818 0.9061
Sm4 0.8037 0.9061 0.5818
Sm5 0.2345 0.9892 0.0108
Sm6 0.4797 0.2299 0.7701
Sm7 0.9797 0.7701 0.2299
Sm8 0.7345 0.0108 0.9892
Sm9 0.3037 0.0939 0.4182
Sm10 0.8037 0.4182 0.0939
Sm11 0.1542 0.4229 0.1950
Sm12 0.6542 0.1950 0.4229
```

Properties
Symmetry: No. 36
Energy relative to the elements (eV/atom): 0.18
Distance to the lowest polymorph of the same formula (meV per atom): 0
Density of states at the Fermi level (states/eV/cell): 28.561



[2]
SrTi2Ir2 | PBE | optimized geometry

CIF file:
```
data_SrTi2Ir2
_space_group_name_H-M_alt 'P 1'
_space_group_IT_number 1
_cell_length_a 4.2985
_cell_length_b 4.2985
_cell_length_c 6.3165
_cell_angle_alpha 70.11
_cell_angle_beta 70.11
_cell_angle_gamma 90.00
loop_
_space_group_symop_operation_xyz
'x,y,z'
loop_
_atom_site_label
_atom_site_fract_x
_atom_site_fract_y
_atom_site_fract_z
Sr1 0.0000 0.0000 0.0000
Ir1 0.3768 0.3768 0.2463
Ir2 0.6232 0.6232 0.7537
Ti1 0.7500 0.2500 0.5000
Ti2 0.2500 0.7500 0.5000
```

Properties
Symmetry: No. 139
Energy relative to the elements (eV/atom): -0.65
Distance to the lowest polymorph of the same formula (meV per atom): 0
Density of states at the Fermi level (states/eV/cell): 3.363



[3]
BaLi2SmI8 | PBE | optimized geometry

CIF file:
```
data_BaLi2SmI8
_space_group_name_H-M_alt 'P 1'
_space_group_IT_number 1
_cell_length_a 7.6604
_cell_length_b 7.6604
_cell_length_c 9.9215
_cell_angle_alpha 90.00
_cell_angle_beta 90.00
_cell_angle_gamma 120.00
loop_
_space_group_symop_operation_xyz
'x,y,z'
loop_
_atom_site_label
_atom_site_fract_x
_atom_site_fract_y
_atom_site_fract_z
Ba1 0.0000 0.0000 0.0000
Li1 0.6667 0.3333 0.2735
Li2 0.3333 0.6667 0.7265
Sm1 0.0000 0.0000 0.5000
I1 0.3333 0.6667 0.9995
I2 0.3025 0.3213 0.3045
I3 0.6787 0.9813 0.3045
I4 0.6667 0.3333 0.0005
I5 0.3213 0.0187 0.6955
I6 0.6975 0.6787 0.6955
I7 0.9813 0.3025 0.6955
I8 0.0187 0.6975 0.3045
```

Properties
Symmetry: No. 147
Uncorrected formation energy (eV/atom): -1.16
Density of states at the Fermi level (states/eV/cell): 16.816



[4]
Ca2LaPt | PBE | optimized geometry

CIF file:
```
data_Ca2LaPt
_space_group_name_H-M_alt 'P 1'
_space_group_IT_number 1
_cell_length_a 4.1711
_cell_length_b 6.6827
_cell_length_c 6.6832
_cell_angle_alpha 50.97
_cell_angle_beta 90.00
_cell_angle_gamma 90.00
loop_
_space_group_symop_operation_xyz
'x,y,z'
loop_
_atom_site_label
_atom_site_fract_x
_atom_site_fract_y
_atom_site_fract_z
Ca1 0.0000 0.9108 0.9108
Ca2 0.0000 0.5892 0.5892
Pt1 0.5000 0.7500 0.7500
La1 0.5000 0.2500 0.2500
```

Properties
Symmetry: No. 65
Energy relative to the elements (eV/atom): -0.49
Distance to the lowest polymorph of the same formula (meV per atom): 114
Density of states at the Fermi level (states/eV/cell): 5.225



[5]
Mg2GaHRu | PBE | optimized geometry

CIF file:
```
data_Mg2GaHRu
_space_group_name_H-M_alt 'P 1'
_space_group_IT_number 1
_cell_length_a 4.3380
_cell_length_b 4.3380
_cell_length_c 3.6314
_cell_angle_alpha 90.00
_cell_angle_beta 90.00
_cell_angle_gamma 90.00
loop_
_space_group_symop_operation_xyz
'x,y,z'
loop_
_atom_site_label
_atom_site_fract_x
_atom_site_fract_y
_atom_site_fract_z
Ru1 0.0000 0.0000 0.5000
Mg1 0.0000 0.5000 0.0000
Mg2 0.5000 0.0000 0.0000
Ga1 0.5000 0.5000 0.5000
H1 0.0000 0.0000 0.0000
```

Properties
Symmetry: No. 123
DFT total energy (eV/f.u.): -19.5
Density of states at the Fermi level (states/eV/cell): 2.227



[6]
RbSbAu | PBE | optimized geometry

CIF file:
```
data_RbSbAu
_space_group_name_H-M_alt 'P 1'
_space_group_IT_number 1
_cell_length_a 3.8817
_cell_length_b 7.2535
_cell_length_c 7.5445
_cell_angle_alpha 90.00
_cell_angle_beta 75.17
_cell_angle_gamma 90.00
loop_
_space_group_symop_operation_xyz
'x,y,z'
loop_
_atom_site_label
_atom_site_fract_x
_atom_site_fract_y
_atom_site_fract_z
Rb1 0.0737 0.4310 0.6983
Rb2 0.9312 0.9310 0.9795
Sb1 0.8187 0.4310 0.2042
Sb2 0.6754 0.9310 0.4924
Au1 0.2579 0.6930 0.3265
Au2 0.2579 0.1689 0.3265
```

Properties
Symmetry: No. 6
Uncorrected formation energy (eV/atom): -0.24
Distance to the lowest polymorph of the same formula (meV per atom): 138
Density of states at the Fermi level (states/eV/cell): 1.843



[7]
La2TiPbC | PBE | optimized geometry

CIF file:
```
data_La2TiPbC
_space_group_name_H-M_alt 'P 1'
_space_group_IT_number 1
_cell_length_a 5.3576
_cell_length_b 5.3576
_cell_length_c 4.3298
_cell_angle_alpha 90.00
_cell_angle_beta 90.00
_cell_angle_gamma 90.00
loop_
_space_group_symop_operation_xyz
'x,y,z'
loop_
_atom_site_label
_atom_site_fract_x
_atom_site_fract_y
_atom_site_fract_z
Pb1 0.5000 0.5000 0.5000
C1 0.0000 0.0000 0.0000
Ti1 0.0000 0.0000 0.5000
La1 0.0000 0.5000 0.0000
La2 0.5000 0.0000 0.0000
```

Properties
Symmetry: No. 123
Energy relative to the elements (eV/atom): -0.33
Density of states at the Fermi level (states/eV/cell): 3.961



[8]
Sr2MgIn3Pd4 | PBE | optimized geometry

CIF file:
```
data_Sr2MgIn3Pd4
_space_group_name_H-M_alt 'P 1'
_space_group_IT_number 1
_cell_length_a 4.6563
_cell_length_b 4.6563
_cell_length_c 10.9536
_cell_angle_alpha 90.00
_cell_angle_beta 90.00
_cell_angle_gamma 90.00
loop_
_space_group_symop_operation_xyz
'x,y,z'
loop_
_atom_site_label
_atom_site_fract_x
_atom_site_fract_y
_atom_site_fract_z
Sr1 0.5000 0.0000 0.2398
Sr2 0.0000 0.5000 0.7602
Mg1 0.5000 0.5000 0.5000
In1 0.0000 0.0000 0.5000
In2 0.5000 0.0000 0.8745
In3 0.0000 0.5000 0.1255
Pd1 0.5000 0.5000 0.0000
Pd2 0.0000 0.0000 0.0000
Pd3 0.5000 0.0000 0.6304
Pd4 0.0000 0.5000 0.3696
```

Properties
Symmetry: No. 115
Energy relative to the elements (eV/atom): -0.61
Density of states at the Fermi level (states/eV/cell): 5.124



[9]
CdOsBrCl | PBE | optimized geometry

CIF file:
```
data_CdOsBrCl
_space_group_name_H-M_alt 'P 1'
_space_group_IT_number 1
_cell_length_a 4.5416
_cell_length_b 3.1861
_cell_length_c 7.3933
_cell_angle_alpha 90.00
_cell_angle_beta 107.67
_cell_angle_gamma 90.00
loop_
_space_group_symop_operation_xyz
'x,y,z'
loop_
_atom_site_label
_atom_site_fract_x
_atom_site_fract_y
_atom_site_fract_z
Cl1 0.0035 0.5000 0.5140
Os1 0.1669 0.5000 0.8444
Br1 0.3004 0.0000 0.1145
Cd1 0.6334 0.0000 0.7764
```

Properties
Symmetry: No. 6
Uncorrected formation energy (eV/atom): 0.14
Distance to the lowest polymorph of the same formula (meV per atom): 0
Density of states at the Fermi level (states/eV/cell): 2.610



[10]
Zr2SiPt | PBE | optimized geometry

CIF file:
```
data_Zr2SiPt
_space_group_name_H-M_alt 'P 1'
_space_group_IT_number 1
_cell_length_a 3.9278
_cell_length_b 3.7298
_cell_length_c 5.4994
_cell_angle_alpha 70.17
_cell_angle_beta 90.00
_cell_angle_gamma 90.00
loop_
_space_group_symop_operation_xyz
'x,y,z'
loop_
_atom_site_label
_atom_site_fract_x
_atom_site_fract_y
_atom_site_fract_z
Si1 0.5000 0.5435 0.7884
Zr1 0.0000 0.9796 0.9164
Zr2 0.5000 0.2772 0.3206
Pt1 0.0000 0.6998 0.4747
```

Properties
Symmetry: No. 38
Uncorrected formation energy (eV/atom): -0.95
Density of states at the Fermi level (states/eV/cell): 3.697



[11]
HgTe2Br | PBE | optimized geometry

CIF file:
```
data_HgTe2Br
_space_group_name_H-M_alt 'P 1'
_space_group_IT_number 1
_cell_length_a 8.5252
_cell_length_b 8.5252
_cell_length_c 2.9105
_cell_angle_alpha 90.00
_cell_angle_beta 90.00
_cell_angle_gamma 137.35
loop_
_space_group_symop_operation_xyz
'x,y,z'
loop_
_atom_site_label
_atom_site_fract_x
_atom_site_fract_y
_atom_site_fract_z
Te1 0.0000 0.0000 0.0000
Te2 0.5000 0.5000 0.0000
Hg1 0.0000 0.5000 0.5000
Br1 0.5000 0.0000 0.5000
```

Properties
Symmetry: No. 65
Uncorrected formation energy (eV/atom): 0.06
Distance to the lowest polymorph of the same formula (meV per atom): 174
Density of states at the Fermi level (states/eV/cell): 3.107



[12]
CuSn2Pd | PBE | optimized geometry

CIF file:
```
data_CuSn2Pd
_space_group_name_H-M_alt 'P 1'
_space_group_IT_number 1
_cell_length_a 4.7735
_cell_length_b 4.7735
_cell_length_c 4.7735
_cell_angle_alpha 60.00
_cell_angle_beta 60.00
_cell_angle_gamma 60.00
loop_
_space_group_symop_operation_xyz
'x,y,z'
loop_
_atom_site_label
_atom_site_fract_x
_atom_site_fract_y
_atom_site_fract_z
Cu1 0.0000 0.0000 0.0000
Sn1 0.2500 0.2500 0.2500
Sn2 0.7500 0.7500 0.7500
Pd1 0.5000 0.5000 0.5000
```

Properties
Symmetry: No. 225
Energy relative to the elements (eV/atom): -0.08
Distance to the lowest polymorph of the same formula (meV per atom): 158
Density of states at the Fermi level (states/eV/cell): 2.364



[13]
MgB2W | PBE | optimized geometry

CIF file:
```
data_MgB2W
_space_group_name_H-M_alt 'P 1'
_space_group_IT_number 1
_cell_length_a 5.9854
_cell_length_b 5.9854
_cell_length_c 5.0974
_cell_angle_alpha 54.05
_cell_angle_beta 54.05
_cell_angle_gamma 90.00
loop_
_space_group_symop_operation_xyz
'x,y,z'
loop_
_atom_site_label
_atom_site_fract_x
_atom_site_fract_y
_atom_site_fract_z
Mg1 0.5000 0.5000 0.0000
Mg2 0.2500 0.7500 0.5000
B1 0.6481 0.1250 0.2500
B2 0.1019 0.6250 0.2500
B3 0.3750 0.3519 0.7500
B4 0.8750 0.8981 0.7500
W1 0.0000 0.0000 0.0000
W2 0.7500 0.2500 0.5000
```

Properties
Symmetry: No. 122
Energy relative to the elements (eV/atom): 0.78
Density of states at the Fermi level (states/eV/cell): 2.696



[14]
Br5Cl | PBE | optimized geometry

CIF file:
```
data_Br5Cl
_space_group_name_H-M_alt 'P 1'
_space_group_IT_number 1
_cell_length_a 9.1326
_cell_length_b 9.1326
_cell_length_c 7.0020
_cell_angle_alpha 74.52
_cell_angle_beta 74.52
_cell_angle_gamma 27.35
loop_
_space_group_symop_operation_xyz
'x,y,z'
loop_
_atom_site_label
_atom_site_fract_x
_atom_site_fract_y
_atom_site_fract_z
Br1 0.0110 0.0110 0.0336
Br2 0.3429 0.3429 0.7019
Br3 0.6780 0.6780 0.3647
Br4 0.6005 0.6005 0.6936
Br5 0.9314 0.9314 0.3634
Cl1 0.2695 0.2695 0.0095
```

Properties
Symmetry: No. 8
Uncorrected formation energy (eV/atom): 0.09
Distance to the lowest polymorph of the same formula (meV per atom): 0



[15]
BaAlAu3 | PBE | optimized geometry

CIF file:
```
data_BaAlAu3
_space_group_name_H-M_alt 'P 1'
_space_group_IT_number 1
_cell_length_a 7.0120
_cell_length_b 8.2720
_cell_length_c 8.7248
_cell_angle_alpha 90.00
_cell_angle_beta 89.92
_cell_angle_gamma 90.00
loop_
_space_group_symop_operation_xyz
'x,y,z'
loop_
_atom_site_label
_atom_site_fract_x
_atom_site_fract_y
_atom_site_fract_z
Ba1 0.0011 0.5001 0.2305
Ba2 0.4989 0.0001 0.2695
Ba3 0.9989 0.4999 0.7695
Ba4 0.5011 0.9999 0.7305
Al1 0.5002 0.6618 0.0001
Al2 0.9998 0.1618 0.4999
Al3 0.4998 0.3382 0.9999
Al4 0.0002 0.8382 0.5001
Au1 0.2999 0.6788 0.5003
Au2 0.2001 0.1788 0.9997
Au3 0.7001 0.3212 0.4997
Au4 0.7999 0.8212 0.0003
Au5 0.0005 0.0001 0.7517
Au6 0.4995 0.5001 0.7483
Au7 0.9995 0.9999 0.2483
Au8 0.5005 0.4999 0.2517
Au9 0.7004 0.6787 0.4996
Au10 0.7996 0.1787 0.0004
Au11 0.2996 0.3213 0.5004
Au12 0.2004 0.8213 0.9996
```

Properties
Symmetry: No. 12
Energy relative to the elements (eV/atom): -0.58
Distance to the lowest polymorph of the same formula (meV per atom): 0
Density of states at the Fermi level (states/eV/cell): 9.155



[16]
Sr2CuSi3Pd4 | PBE | optimized geometry

CIF file:
```
data_Sr2CuSi3Pd4
_space_group_name_H-M_alt 'P 1'
_space_group_IT_number 1
_cell_length_a 4.3654
_cell_length_b 4.3654
_cell_length_c 9.9487
_cell_angle_alpha 90.00
_cell_angle_beta 90.00
_cell_angle_gamma 90.00
loop_
_space_group_symop_operation_xyz
'x,y,z'
loop_
_atom_site_label
_atom_site_fract_x
_atom_site_fract_y
_atom_site_fract_z
Sr1 0.5000 0.0000 0.2560
Sr2 0.0000 0.5000 0.7440
Cu1 0.5000 0.5000 0.5000
Si1 0.0000 0.0000 0.5000
Si2 0.5000 0.0000 0.8800
Si3 0.0000 0.5000 0.1200
Pd1 0.5000 0.5000 0.0000
Pd2 0.0000 0.0000 0.0000
Pd3 0.5000 0.0000 0.6323
Pd4 0.0000 0.5000 0.3677
```

Properties
Symmetry: No. 115
Uncorrected formation energy (eV/atom): -0.65
Density of states at the Fermi level (states/eV/cell): 4.941



[17]
Nd2SmDyEr2 | PBE | optimized geometry

CIF file:
```
data_Nd2SmDyEr2
_space_group_name_H-M_alt 'P 1'
_space_group_IT_number 1
_cell_length_a 3.3973
_cell_length_b 6.5792
_cell_length_c 18.1150
_cell_angle_alpha 90.00
_cell_angle_beta 90.00
_cell_angle_gamma 90.00
loop_
_space_group_symop_operation_xyz
'x,y,z'
loop_
_atom_site_label
_atom_site_fract_x
_atom_site_fract_y
_atom_site_fract_z
Nd1 0.5000 0.2754 0.3126
Nd2 0.0000 0.7754 0.1874
Nd3 0.5000 0.7246 0.6874
Nd4 0.0000 0.2246 0.8126
Sm1 0.5000 0.5000 0.0000
Sm2 0.0000 0.0000 0.5000
Dy1 0.0000 0.0000 0.0000
Dy2 0.5000 0.5000 0.5000
Er1 0.5000 0.7760 0.3544
Er2 0.5000 0.2240 0.6456
Er3 0.0000 0.7240 0.8544
Er4 0.0000 0.2760 0.1456
```

Properties
Symmetry: No. 58
Energy relative to the elements (eV/atom): 0.27
Density of states at the Fermi level (states/eV/cell): 19.737



[18]
NaTbPbF6 | PBE | optimized geometry

CIF file:
```
data_NaTbPbF6
_space_group_name_H-M_alt 'P 1'
_space_group_IT_number 1
_cell_length_a 5.4083
_cell_length_b 5.4083
_cell_length_c 11.0978
_cell_angle_alpha 90.00
_cell_angle_beta 90.00
_cell_angle_gamma 90.00
loop_
_space_group_symop_operation_xyz
'x,y,z'
loop_
_atom_site_label
_atom_site_fract_x
_atom_site_fract_y
_atom_site_fract_z
Na1 0.5000 0.5000 0.1668
Na2 0.0000 0.0000 0.6668
Tb1 0.5000 0.5000 0.8313
Tb2 0.0000 0.0000 0.3313
Pb1 0.5000 0.5000 0.4977
Pb2 0.0000 0.0000 0.9977
F1 0.1812 0.8188 0.4876
F2 0.8188 0.1812 0.4876
F3 0.3188 0.3188 0.9876
F4 0.6812 0.6812 0.9876
F5 0.1937 0.8063 0.1842
F6 0.8063 0.1937 0.1842
F7 0.3063 0.3063 0.6842
F8 0.6937 0.6937 0.6842
F9 0.7905 0.2095 0.8303
F10 0.2095 0.7905 0.8303
F11 0.7095 0.7095 0.3303
F12 0.2905 0.2905 0.3303
```

Properties
Symmetry: No. 102
Uncorrected formation energy (eV/atom): -3.23
Density of states at the Fermi level (states/eV/cell): 0.000



no.,calculated volume (Å³/atom)
1,36.2
2,20.5
3,42.0
4,36.2
5,13.7
6,34.2
7,24.9
8,23.7
9,25.5
10,18.9
11,35.8
12,19.2
13,12.7
14,43.0
15,25.3
16,19.0
17,33.7
18,18.0